A plane-wave DFT calculation with GGA-PBE was carried out for a geometry-optimized YGeS2N structure.

ΔE to the lowest computed polymorph ... 0 kJ/mol of formula units
Magnetization ... 0.00 μB per formula unit

Unit cell a=4.8576 b=4.8576 c=3.6752 alpha=90.00 beta=90.00 gamma=90.00
Closest atoms and distances in Å follow each position.
Fractional positions:
N: 0.0000 0.0000 0.5000  2 Ge 1.84
S: 0.5000 0.0000 0.0000  2 Ge 2.43
S: 0.0000 0.5000 0.0000  2 Ge 2.43
Ge: 0.0000 0.0000 0.0000  2 N 1.84
Y: 0.5000 0.5000 0.5000  8 S 3.05